(1)
KCa3B | PBE | optimized geometry

## Properties
density = 1.6 Mg/m³
distance to the lowest polymorph of the same formula = 0.00 eV per formula unit
space group = Pm-3m, No. 221
total moment = 0.00 μB/cell
electronic total energy = -2.46 eV per atom
ΔE_f = 0.298 eV per atom

Lattice parameters (Å, degrees): 5.5933 5.5933 5.5933 90.00 90.00 90.00
Atoms (fractional coordinates):
Ca 0.0000 0.5000 0.0000
Ca 0.0000 0.0000 0.5000
Ca 0.5000 0.0000 0.0000
B 0.0000 0.0000 0.0000
K 0.5000 0.5000 0.5000


(2)
Dy4Er3Tm2 | PBE | optimized geometry

## Properties
density = 9.0 Mg/m³
space group = C2/c, No. 15
total moment = 0.00 μB/cell
electronic total energy = -4.46 eV per atom
ΔE_f = 0.102 eV per atom

Lattice parameters (Å, degrees): 6.0711 11.1121 11.1121 62.04 61.73 61.73
Atoms (fractional coordinates):
Dy 0.4203 0.9037 0.1890
Dy 0.0797 0.8110 0.0963
Dy 0.5797 0.0963 0.8110
Dy 0.9203 0.1890 0.9037
Dy 0.0788 0.1444 0.4311
Dy 0.4212 0.5689 0.8556
Dy 0.9212 0.8556 0.5689
Dy 0.5788 0.4311 0.1444
Er 0.7447 0.0707 0.2639
Er 0.7553 0.7361 0.9293
Er 0.2553 0.9293 0.7361
Er 0.2447 0.2639 0.0707
Er 0.2500 0.5965 0.4035
Er 0.7500 0.4035 0.5965
Tm 0.4201 0.2394 0.5216
Tm 0.0799 0.4784 0.7606
Tm 0.5799 0.7606 0.4784
Tm 0.9201 0.5216 0.2394


(3)
LiHo6Al2 | PBE | optimized geometry

## Properties
density = 6.5 Mg/m³
space group = C2/m, No. 12
total moment = 0.00 μB/cell
electronic total energy = -3.94 eV per atom
ΔE_f = 0.156 eV per atom

Lattice parameters (Å, degrees): 4.9665 7.1954 8.7115 114.39 106.62 90.00
Atoms (fractional coordinates):
Li 0.0000 0.0000 0.0000
Ho 0.1674 0.4188 0.3355
Ho 0.8326 0.0833 0.6645
Ho 0.8326 0.5812 0.6645
Ho 0.5000 0.2559 0.0000
Ho 0.1674 0.9167 0.3355
Ho 0.5000 0.7441 0.0000
Al 0.6667 0.6670 0.3340
Al 0.3333 0.3330 0.6660


(4)
RbBe2SnOs | PBE | optimized geometry

## Properties
density = 6.2 Mg/m³
space group = P4/mmm, No. 123
total moment = 0.00 μB/cell
electronic total energy = -4.35 eV per atom
ΔE_f = 0.380 eV per atom

Lattice parameters (Å, degrees): 4.6661 5.0502 4.6661 90.00 90.00 90.00
Atoms (fractional coordinates):
Be 0.0000 0.0000 0.5000
Be 0.5000 0.0000 0.0000
Os 0.0000 0.0000 0.0000
Sn 0.0000 0.5000 0.0000
Rb 0.5000 0.5000 0.5000


(5)
La5PrDy3 | PBE | optimized geometry

## Properties
density = 6.7 Mg/m³
distance to the lowest polymorph of the same formula = 0.00 eV per formula unit
space group = C2/c, No. 15
total moment = 0.00 μB/cell
electronic total energy = -4.56 eV per atom
ΔE_f = 0.241 eV per atom

Lattice parameters (Å, degrees): 6.6259 11.8840 11.4794 128.96 90.00 106.19
Atoms (fractional coordinates):
La 0.4029 0.0000 0.7500
La 0.6565 0.6601 0.0208
La 0.8634 0.3376 0.1248
La 0.3435 0.3399 0.9792
La 0.5258 0.6624 0.3752
La 0.5971 0.0000 0.2500
La 0.0036 0.6601 0.5208
La 0.9964 0.3399 0.4792
La 0.4742 0.3376 0.6248
La 0.1366 0.6624 0.8752
Pr 0.8614 0.0000 0.7500
Pr 0.1386 0.0000 0.2500
Dy 0.0000 0.0000 0.0000
Dy 0.4539 0.3214 0.3069
Dy 0.0000 0.0000 0.5000
Dy 0.5461 0.6786 0.6931
Dy 0.8675 0.3214 0.8069
Dy 0.1325 0.6786 0.1931


(6)
YTaOs2 | PBE | optimized geometry

## Properties
density = 15.0 Mg/m³
space group = I-4m2, No. 119
total moment = 0.00 μB/cell
electronic total energy = -9.96 eV per atom
ΔE_f = 0.234 eV per atom

Lattice parameters (Å, degrees): 5.4585 5.4585 5.4585 137.94 137.94 61.00
Atoms (fractional coordinates):
Os 0.0000 0.0000 0.0000
Os 0.2500 0.7500 0.5000
Ta 0.5000 0.5000 0.0000
Y 0.7500 0.2500 0.5000


(7)
LiRuW2 | PBE | optimized geometry

## Properties
density = 13.4 Mg/m³
space group = Pm, No. 6
total moment = 0.00 μB/cell
electronic total energy = -9.00 eV per atom
ΔE_f = 0.276 eV per atom

Lattice parameters (Å, degrees): 4.3054 2.6900 5.1496 81.28 90.00 90.00
Atoms (fractional coordinates):
Li 0.0000 0.5293 0.5023
Ru 0.5000 0.7495 0.7439
W 0.0000 0.9844 0.9910
W 0.5000 0.2368 0.2628


(8)
La2WBr | PBE | optimized geometry

## Properties
density = 9.0 Mg/m³
distance to the lowest polymorph of the same formula = 3.40 eV per formula unit
space group = F-43m, No. 216
total moment = 0.66 μB/cell
E_form (uncorrected) = 630 meV per atom
electronic total energy = -5.49 eV per atom

Lattice parameters (Å, degrees): 5.2139 5.2139 5.2139 60.00 60.00 60.00
Atoms (fractional coordinates):
Br 0.5000 0.5000 0.5000
W 0.7500 0.7500 0.7500
La 0.0000 0.0000 0.0000
La 0.2500 0.2500 0.2500


(9)
NiP4Rh | PBE | optimized geometry

## Properties
density = 5.7 Mg/m³
space group = F-43m, No. 216
total moment = 0.00 μB/cell
electronic total energy = -5.14 eV per atom
ΔE_f = 0.660 eV per atom

Lattice parameters (Å, degrees): 4.9037 4.9037 4.9037 60.00 60.00 60.00
Atoms (fractional coordinates):
Ni 0.0000 0.0000 0.0000
P 0.3723 0.8831 0.3723
P 0.8831 0.3723 0.3723
P 0.3723 0.3723 0.8831
P 0.3723 0.3723 0.3723
Rh 0.7500 0.7500 0.7500


What did the first record say?
KCa3B | PBE | optimized geometry

## Properties
density = 1.6 Mg/m³
distance to the lowest polymorph of the same formula = 0.00 eV per formula unit
space group = Pm-3m, No. 221
total moment = 0.00 μB/cell
electronic total energy = -2.46 eV per atom
ΔE_f = 0.298 eV per atom

Lattice parameters (Å, degrees): 5.5933 5.5933 5.5933 90.00 90.00 90.00
Atoms (fractional coordinates):
Ca 0.0000 0.5000 0.0000
Ca 0.0000 0.0000 0.5000
Ca 0.5000 0.0000 0.0000
B 0.0000 0.0000 0.0000
K 0.5000 0.5000 0.5000